Computed, not measured: crystalline NbNiN2O at its relaxed geometry at the GGA+U level of DFT.

Lattice parameters (Å, degrees): 4.0876 4.0876 3.9363 90.00 90.00 90.00
Closest atoms and distances in Å follow each position.
Space group P4/mmm (No. 123)
Inequivalent atoms, fractional coordinates:
Nb 0.0000 0.0000 0.0000 [1 per cell]  2 O 1.97, 4 N 2.04
Ni 0.5000 0.5000 0.5000 [1 per cell]  8 N 2.84, 4 O 2.89
N 0.0000 0.5000 0.0000 [2 per cell]  2 Nb 2.04
O 0.0000 0.0000 0.5000 [1 per cell]  2 Nb 1.97



Computed, not measured: crystalline NbNiN2O at its relaxed geometry at the GGA+U level of DFT.

Lattice parameters (Å, degrees): 3.6762 3.6762 3.5711 90.00 90.00 90.00
Closest atoms and distances in Å follow each position.
Space group P4/mmm (No. 123)
Inequivalent atoms, fractional coordinates:
Nb 0.0000 0.0000 0.0000 [1 per cell]  8 N 2.56, 4 O 2.60
Ni 0.5000 0.5000 0.5000 [1 per cell]  2 O 1.79, 4 N 1.84
N 0.0000 0.5000 0.5000 [2 per cell]  2 Ni 1.84
O 0.5000 0.5000 0.0000 [1 per cell]  2 Ni 1.79



no.,spin magnetization (μB/f.u.),VASP energy (eV per atom)
1,2.39,-6.677
2,0.66,-6.415